First-principles (GGA-PBE) data for a relaxed structure of TaCrTe, as listed in Alexandria via LeMat-Bulk.

Unit cell a=4.4401 b=4.4401 c=4.4401 alpha=60.00 beta=60.00 gamma=60.00
Last column: magnetic moment on the atom in μB.
Fractional positions:
Cr  0.5000  0.5000  0.5000  0.41
Ta  0.7500  0.7500  0.7500  -0.12
Te  0.0000  0.0000  0.0000  0.00

As for the magnetic moment: 0.3 μB/f.u. Its relative energy among the computed polymorphs is 0.724 eV/atom.